Entry 1:
The following is a DFT calculation (PBE-GGA) of SmMn3P3 after structural relaxation.

The structure belongs to space group Pm-3n (No. 223); the cell edges are 6.244, 6.244 and 6.244 Å and the angles 90.00°, 90.00° and 90.00°. The inequivalent atoms are Sm at (0.000, 0.000, 0.000), Mn at (0.000, 0.250, 0.500) and P at (0.000, 0.500, 0.250).

Entry 2:
The following is a DFT calculation (PBE-GGA) of RbIr3Rh after structural relaxation.

The structure belongs to space group Pm-3m (No. 221); the cell edges are 4.865, 4.865 and 4.865 Å and the angles 90.00°, 90.00° and 90.00°. The inequivalent atoms are Rb at (0.000, 0.000, 0.000), Ir at (0.000, 0.500, 0.500) and Rh at (0.500, 0.500, 0.500).

Entry 3:
The following is a DFT calculation (PBE-GGA) of Na2GaHgPt after structural relaxation.

The structure belongs to space group P4/mmm (No. 123); the cell edges are 5.530, 5.530 and 4.780 Å and the angles 90.00°, 90.00° and 90.00°. The inequivalent atoms are Na at (0.000, 0.500, 0.000), Ga at (0.000, 0.000, 0.500), Hg at (0.500, 0.500, 0.500) and Pt at (0.000, 0.000, 0.000).

Entry 4:
The following is a DFT calculation (PBE-GGA) of InOs2Pt after structural relaxation.

The structure belongs to space group Fm-3m (No. 225); the cell edges are 6.353, 6.353 and 6.353 Å and the angles 90.00°, 90.00° and 90.00°. The inequivalent atoms are In at (0.000, 0.000, 0.000), Os at (0.250, 0.250, 0.250) and Pt at (0.000, 0.000, 0.500).

Entry 5:
The following is a DFT calculation (PBE-GGA) of TbMnFe after structural relaxation.

The structure belongs to space group Imma (No. 74); the cell edges are 5.081, 5.240 and 7.234 Å and the angles 90.00°, 90.00° and 90.00°. The inequivalent atoms are Tb at (0.000, 0.250, 0.122), Mn at (0.000, 0.000, 0.500) and Fe at (0.250, 0.250, 0.750).

Entry 6:
The following is a DFT calculation (PBE-GGA) of NdHfSb2 after structural relaxation.

The value obtained for the formation energy from raw total energies is -0.563 eV/f.u.

The structure belongs to space group R-3m (No. 166, hexagonal axes); the cell edges are 3.8126, 3.8126 and 30.3959 Å and the angles 90.00°, 90.00° and 120.00°. The inequivalent atoms are Nd at (0.0000, 0.0000, 0.0000), Hf at (0.0000, 0.0000, 0.5000) and Sb at (0.0000, 0.0000, 0.1039).

Number 1: E_tot -7.31 eV/atom. Number 2: E_tot -5.32 eV/atom. Number 3: E_tot -2.56 eV/atom. Number 4: E_tot -7.24 eV/atom. Number 5: E_tot -7.37 eV/atom. Number 6: E_tot -5.88 eV/atom.